No. 1
{
  "formula": "KNb2PtI",
  "functional": "PBE",
  "state": "relaxed",
  "lattice": [[-1.5859, 3.2769, -3.5258], [-4.7423, 1.6001, 3.6202], [2.8339, 3.6363, 2.1050]],
  "species": ["I", "Nb", "Nb", "K", "Pt"],
  "frac_coords": [[0.0000, 0.5000, 0.0000], [0.0000, 0.0000, 0.5000], [0.5000, 0.0000, 0.0000], [0.5000, 0.5000, 0.5000], [0.0000, 0.0000, 0.0000]],
  "e_form_raw_ev_per_atom": 0.8860
}

---

No. 2
{
  "formula": "TmSnP2O8",
  "functional": "PBE",
  "state": "relaxed",
  "lattice": [[-3.5935, 1.8170, 2.8974], [-4.6887, -1.4915, -0.6330], [-1.6721, -5.3354, 5.5188]],
  "species": ["Tm", "Sn", "P", "P", "O", "O", "O", "O", "O", "O", "O", "O"],
  "frac_coords": [[0.0000, 0.0000, 0.0000], [0.5000, 0.5000, 0.5000], [0.2491, 0.2491, 0.2526], [0.7509, 0.7509, 0.7474], [0.1779, 0.1779, 0.4663], [0.5651, 0.2756, 0.1868], [0.8221, 0.8221, 0.5337], [0.9726, 0.5651, 0.1868], [0.0274, 0.4349, 0.8132], [0.2756, 0.9726, 0.1868], [0.7244, 0.0274, 0.8132], [0.4349, 0.7244, 0.8132]],
  "e_form_raw_ev_per_atom": -2.2264
}

---

No. 3
{
  "formula": "Ba3NdB9O18",
  "functional": "PBE",
  "state": "relaxed",
  "lattice": [[7.3048, 0.0000, 0.0000], [-3.6524, 6.3262, 0.0000], [0.0000, 0.0000, 17.7885]],
  "species": ["Ba", "Ba", "Ba", "Ba", "Ba", "Ba", "Nd", "Nd", "B", "B", "B", "B", "B", "B", "B", "B", "B", "B", "B", "B", "B", "B", "B", "B", "B", "B", "O", "O", "O", "O", "O", "O", "O", "O", "O", "O", "O", "O", "O", "O", "O", "O", "O", "O", "O", "O", "O", "O", "O", "O", "O", "O", "O", "O", "O", "O", "O", "O", "O", "O", "O", "O"],
  "frac_coords": [[0.6667, 0.3333, 0.6344], [0.3333, 0.6667, 0.3656], [0.3333, 0.6667, 0.1344], [0.6667, 0.3333, 0.8656], [0.0000, 0.0000, 0.7500], [0.0000, 0.0000, 0.2500], [0.0000, 0.0000, 0.5000], [0.0000, 0.0000, 0.0000], [0.1620, 0.4527, 0.5845], [0.8380, 0.5473, 0.4155], [0.5473, 0.7093, 0.5845], [0.8380, 0.5473, 0.0845], [0.4527, 0.2907, 0.4155], [0.1620, 0.4527, 0.9155], [0.2907, 0.8380, 0.5845], [0.4527, 0.2907, 0.0845], [0.7093, 0.1620, 0.4155], [0.5473, 0.7093, 0.9155], [0.7093, 0.1620, 0.0845], [0.2907, 0.8380, 0.9155], [0.3774, 0.4956, 0.7500], [0.6226, 0.5044, 0.2500], [0.5044, 0.8818, 0.7500], [0.4956, 0.1182, 0.2500], [0.1182, 0.6226, 0.7500], [0.8818, 0.3774, 0.2500], [0.1675, 0.4589, 0.7500], [0.8325, 0.5411, 0.2500], [0.5411, 0.7086, 0.7500], [0.4589, 0.2914, 0.2500], [0.2914, 0.8325, 0.7500], [0.7086, 0.1675, 0.2500], [0.6668, 0.0786, 0.7500], [0.3332, 0.9214, 0.2500], [0.9214, 0.5882, 0.7500], [0.0786, 0.4118, 0.2500], [0.4118, 0.3332, 0.7500], [0.5882, 0.6668, 0.2500], [0.9990, 0.2554, 0.5840], [0.0010, 0.7446, 0.4160], [0.7446, 0.7436, 0.5840], [0.0010, 0.7446, 0.0840], [0.2554, 0.2564, 0.4160], [0.9990, 0.2554, 0.9160], [0.2564, 0.0010, 0.5840], [0.2554, 0.2564, 0.0840], [0.7436, 0.9990, 0.4160], [0.7446, 0.7436, 0.9160], [0.7436, 0.9990, 0.0840], [0.2564, 0.0010, 0.9160], [0.3744, 0.5003, 0.5844], [0.6256, 0.4997, 0.4156], [0.4997, 0.8742, 0.5844], [0.6256, 0.4997, 0.0844], [0.5003, 0.1258, 0.4156], [0.3744, 0.5003, 0.9156], [0.1258, 0.6256, 0.5844], [0.5003, 0.1258, 0.0844], [0.8742, 0.3744, 0.4156], [0.4997, 0.8742, 0.9156], [0.8742, 0.3744, 0.0844], [0.1258, 0.6256, 0.9156]],
  "e_form_raw_ev_per_atom": -2.7101
}

---

No. 4
{
  "formula": "CaCePmEu",
  "functional": "PBE",
  "state": "relaxed",
  "lattice": [[-4.2349, 1.5077, 3.8778], [-1.2595, -3.5837, 4.5624], [1.4679, 1.6008, 5.5252]],
  "species": ["Eu", "Ca", "Ce", "Pm"],
  "frac_coords": [[0.0000, 0.0000, 0.0000], [0.7500, 0.7500, 0.7500], [0.2500, 0.2500, 0.2500], [0.5000, 0.5000, 0.5000]],
  "formation_energy_mev_per_atom": 240
}

---

Number 1: size of the total moment 4.43 μB per formula unit. Number 2: size of the total moment 0.97 μB per formula unit. Number 3: size of the total moment 0.00 μB per formula unit. Number 4: size of the total moment 5.70 μB per formula unit.